# 1
## LiCu2Ir (meta-GGA SCAN)

Data for a crystal of LiCu2Ir relaxed with PBEsol.

E_tot = -25.8379 eV/atom
Offset from the most stable computed form = 252.7 meV per atom
SG = F-43m, No. 216
Calculated formation energy = 134 meV per atom
Magnetic moment = 0.0 μB per cell

Unit cell a=4.0686 b=4.0686 c=4.0686 alpha=60.00 beta=60.00 gamma=60.00
Element x y z (fractional)
Cu (0.0000, 0.0000, 0.0000)
Cu (0.7500, 0.7500, 0.7500)
Ir (0.5000, 0.5000, 0.5000)
Li (0.2500, 0.2500, 0.2500)

***

# 2
## ZnSi2GeAs (meta-GGA SCAN)

Data for a crystal of ZnSi2GeAs relaxed with PBEsol.

E_tot = -13.5401 eV/atom
SG = P4/mmm, No. 123
Magnetic moment = 0.0 μB per cell

Unit cell a=4.6325 b=4.7511 c=4.7511 alpha=90.00 beta=90.00 gamma=90.00
Element x y z (fractional)
As (0.0000, 0.0000, 0.0000)
Si (0.0000, 0.5000, 0.0000)
Si (0.0000, 0.0000, 0.5000)
Ge (0.5000, 0.5000, 0.5000)
Zn (0.5000, 0.0000, 0.0000)

***

# 3
## Cu2TcNi (meta-GGA SCAN)

Data for a crystal of Cu2TcNi relaxed with PBEsol.

E_tot = -20.1312 eV/atom
Offset from the most stable computed form = 207.5 meV per atom
SG = Imm2, No. 44
Calculated formation energy = 277 meV per atom
Magnetic moment = 1.5 μB per cell

Unit cell a=2.5858 b=4.3418 c=4.9373 alpha=116.08 beta=105.18 gamma=90.00
Site moments in Bohr magnetons follow the coordinates.
Element x y z (fractional)
Cu (0.7533, 0.2533, 0.5067)  0.05
Cu (0.0101, 0.0101, 0.0201)  0.07
Tc (0.2425, 0.7425, 0.4850)  0.81
Ni (0.4941, 0.4941, 0.9882)  0.61

***

# 4
## Tm2NiSn6 (meta-GGA SCAN)

Data for a crystal of Tm2NiSn6 relaxed with PBEsol.

E_tot = -37.7392 eV/atom
SG = Cmmm, No. 65
Calculated formation energy = -477 meV per atom
Magnetic moment = 0.0 μB per cell

Unit cell a=4.2883 b=4.3384 c=11.2802 alpha=90.00 beta=100.96 gamma=90.00
Element x y z (fractional)
Sn (0.0712, 0.5000, 0.1424)
Sn (0.7044, 0.5000, 0.4087)
Sn (0.9288, 0.5000, 0.8576)
Sn (0.4298, 0.0000, 0.8595)
Sn (0.5702, 0.0000, 0.1405)
Sn (0.2956, 0.5000, 0.5913)
Ni (0.5000, 0.5000, 0.0000)
Tm (0.8217, 0.0000, 0.6434)
Tm (0.1783, 0.0000, 0.3566)

***

# 5
## Pb2WCl (meta-GGA SCAN)

Data for a crystal of Pb2WCl relaxed with PBEsol.

E_tot = -56.4028 eV/atom
Offset from the most stable computed form = 6.3 meV per atom
SG = I-4m2, No. 119
Magnetic moment = 2.7 μB per cell

Unit cell a=4.0205 b=4.0205 c=6.7556 alpha=107.31 beta=107.31 gamma=90.00
Site moments in Bohr magnetons follow the coordinates.
Element x y z (fractional)
Cl (0.2500, 0.7500, 0.5000)  0.04
Pb (0.0000, 0.0000, 0.0000)  -0.08
Pb (0.7500, 0.2500, 0.5000)  -0.01
W (0.5000, 0.5000, 0.0000)  2.13

***

# 6
## Nb3CrI (meta-GGA SCAN)

Data for a crystal of Nb3CrI relaxed with PBEsol.

E_tot = -29.1366 eV/atom
SG = Pm-3m, No. 221
Magnetic moment = 1.5 μB per cell

Unit cell a=4.9582 b=4.9582 c=4.9582 alpha=90.00 beta=90.00 gamma=90.00
Site moments in Bohr magnetons follow the coordinates.
Element x y z (fractional)
Nb (0.0000, 0.0000, 0.5000)  -0.79
Nb (0.0000, 0.5000, 0.0000)  -0.79
Nb (0.5000, 0.0000, 0.0000)  -0.79
I (0.0000, 0.0000, 0.0000)  -0.02
Cr (0.5000, 0.5000, 0.5000)  3.97

***

# 7
## HfTi2Al2 (meta-GGA SCAN)

Data for a crystal of HfTi2Al2 relaxed with PBEsol.

E_tot = -22.3652 eV/atom
SG = P4/mbm, No. 127
Calculated formation energy = -318 meV per atom
Magnetic moment = 0.1 μB per cell

Unit cell a=3.1664 b=7.3655 c=7.3655 alpha=90.00 beta=90.00 gamma=90.00
Element x y z (fractional)
Hf (0.0000, 0.0000, 0.0000)
Hf (0.0000, 0.5000, 0.5000)
Al (0.0000, 0.1223, 0.3777)
Al (0.0000, 0.6223, 0.1223)
Al (0.0000, 0.3777, 0.8777)
Al (0.0000, 0.8777, 0.6223)
Ti (0.5000, 0.1759, 0.6759)
Ti (0.5000, 0.8241, 0.3241)
Ti (0.5000, 0.6759, 0.8241)
Ti (0.5000, 0.3241, 0.1759)

***

# 8
## MnMoAs (meta-GGA SCAN)

Data for a crystal of MnMoAs relaxed with PBEsol.

E_tot = -24.6738 eV/atom
SG = F-43m, No. 216
Calculated formation energy = -230 meV per atom
Magnetic moment = 0.0 μB per cell

Unit cell a=3.9459 b=3.9459 c=3.9459 alpha=60.00 beta=60.00 gamma=60.00
Element x y z (fractional)
Mo (0.0000, 0.0000, 0.0000)
Mn (0.2500, 0.2500, 0.2500)
As (0.5000, 0.5000, 0.5000)

***

# 9
## Ca3BeSn (meta-GGA SCAN)

Data for a crystal of Ca3BeSn relaxed with PBEsol.

E_tot = -13.7447 eV/atom
SG = Pm-3m, No. 221
Calculated formation energy = 108 meV per atom
Magnetic moment = 1.4 μB per cell

Unit cell a=5.3290 b=5.3290 c=5.3290 alpha=90.00 beta=90.00 gamma=90.00
Site moments in Bohr magnetons follow the coordinates.
Element x y z (fractional)
Sn (0.5000, 0.5000, 0.5000)  -0.07
Be (0.0000, 0.0000, 0.0000)  0.26
Ca (0.5000, 0.0000, 0.0000)  0.09
Ca (0.0000, 0.0000, 0.5000)  0.09
Ca (0.0000, 0.5000, 0.0000)  0.09

***

# 10
## FePt2Au (meta-GGA SCAN)

Data for a crystal of FePt2Au relaxed with PBEsol.

E_tot = -57.1521 eV/atom
Offset from the most stable computed form = 0.0 meV per atom
SG = P4/mmm, No. 123
Calculated formation energy = -234 meV per atom
Magnetic moment = 3.8 μB per cell

Unit cell a=2.7535 b=2.7535 c=7.7302 alpha=90.00 beta=90.00 gamma=90.00
Site moments in Bohr magnetons follow the coordinates.
Element x y z (fractional)
Fe (0.5000, 0.5000, 0.5000)  3.33
Pt (0.0000, 0.0000, 0.7246)  0.29
Pt (0.0000, 0.0000, 0.2754)  0.29
Au (0.5000, 0.5000, 0.0000)  0.00

***

# 11
## AlW2Cl (meta-GGA SCAN)

Data for a crystal of AlW2Cl relaxed with PBEsol.

E_tot = -37.5254 eV/atom
Offset from the most stable computed form = 772.5 meV per atom
SG = I4/mmm, No. 139
Magnetic moment = 0.0 μB per cell

Unit cell a=3.7798 b=3.7798 c=5.1827 alpha=111.39 beta=111.39 gamma=90.00
Element x y z (fractional)
Cl (0.0000, 0.0000, 0.0000)
Al (0.5000, 0.5000, 0.0000)
W (0.7500, 0.2500, 0.5000)
W (0.2500, 0.7500, 0.5000)

***

# 12
## Cd3Mo (meta-GGA SCAN)

Data for a crystal of Cd3Mo relaxed with PBEsol.

E_tot = -31.0984 eV/atom
Offset from the most stable computed form = 130.8 meV per atom
SG = Immm, No. 71
Calculated formation energy = 434 meV per atom
Magnetic moment = 0.5 μB per cell

Unit cell a=2.9645 b=4.9864 c=5.7836 alpha=115.54 beta=104.85 gamma=90.00
Site moments in Bohr magnetons follow the coordinates.
Element x y z (fractional)
Mo (0.0000, 0.5000, 0.0000)  0.50
Cd (0.7469, 0.7469, 0.4939)  -0.01
Cd (0.2531, 0.2531, 0.5061)  -0.01
Cd (0.5000, 0.0000, 0.0000)  -0.01

***

Please write out number 11 again, unchanged.
## AlW2Cl (meta-GGA SCAN)

Data for a crystal of AlW2Cl relaxed with PBEsol.

E_tot = -37.5254 eV/atom
Offset from the most stable computed form = 772.5 meV per atom
SG = I4/mmm, No. 139
Magnetic moment = 0.0 μB per cell

Unit cell a=3.7798 b=3.7798 c=5.1827 alpha=111.39 beta=111.39 gamma=90.00
Element x y z (fractional)
Cl (0.0000, 0.0000, 0.0000)
Al (0.5000, 0.5000, 0.0000)
W (0.7500, 0.2500, 0.5000)
W (0.2500, 0.7500, 0.5000)